(1)
TmPSe2S2 | the Open Quantum Materials Database | PBE | optimized geometry; SG = P-1, No. 2; offset from the most stable computed form = 3 meV/atom
1.0
6.504 0.000 0.000
0.677 6.602 0.000
0.438 0.243 7.743
Tm P Se S
2 2 4 4
Direct
0.199 0.213 0.055
0.801 0.787 0.945
0.303 0.755 0.820
0.697 0.245 0.180
0.382 0.774 0.096
0.419 0.261 0.351
0.581 0.739 0.649
0.618 0.226 0.904
0.094 0.006 0.772
0.118 0.522 0.795
0.882 0.478 0.205
0.906 0.994 0.228

=====

(2)
TmPSeS3 | the Open Quantum Materials Database | PBE | optimized geometry; SG = P-1, No. 2; offset from the most stable computed form = 0 meV/atom
1.0
6.466 0.000 0.000
0.950 6.524 0.000
0.369 0.246 7.692
Tm P Se S
2 2 2 6
Direct
0.204 0.204 0.054
0.796 0.796 0.946
0.306 0.758 0.820
0.694 0.242 0.180
0.416 0.268 0.353
0.584 0.732 0.647
0.087 0.013 0.767
0.125 0.524 0.800
0.388 0.782 0.075
0.612 0.218 0.925
0.875 0.476 0.200
0.913 0.987 0.233

=====

(3)
TmPSe2S2 | the Open Quantum Materials Database | PBE | optimized geometry; SG = P-1, No. 2; offset from the most stable computed form = 0 meV/atom
1.0
6.479 0.000 0.000
0.655 6.748 0.000
0.417 0.243 7.649
Tm P Se S
2 2 4 4
Direct
0.203 0.205 0.056
0.797 0.795 0.944
0.309 0.758 0.817
0.691 0.242 0.183
0.112 0.512 0.774
0.379 0.774 0.100
0.621 0.226 0.900
0.888 0.488 0.226
0.099 0.003 0.768
0.427 0.253 0.335
0.573 0.747 0.665
0.901 0.997 0.232

=====

(4)
ZrPSeS3 | the Open Quantum Materials Database | PBE | optimized geometry; SG = C2/m, No. 12
1.0
6.190 -3.775 0.000
6.190 3.775 0.000
-0.034 0.000 6.671
Zr P Se S
2 2 2 6
Direct
0.246 0.754 0.000
0.754 0.246 0.000
0.308 0.308 0.835
0.692 0.692 0.165
0.098 0.098 0.778
0.902 0.902 0.222
0.141 0.595 0.705
0.371 0.371 0.134
0.405 0.859 0.295
0.595 0.141 0.705
0.629 0.629 0.866
0.859 0.405 0.295

=====

(5)
SmPS | the Open Quantum Materials Database | PBE | optimized geometry; SG = Pnma, No. 62
1.0
5.489 0.000 0.000
0.000 5.434 0.000
0.000 0.000 17.013
Sm P S
8 8 8
Direct
0.015 0.250 0.147
0.016 0.750 0.362
0.484 0.250 0.862
0.485 0.750 0.647
0.515 0.250 0.353
0.516 0.750 0.138
0.984 0.250 0.638
0.985 0.750 0.853
0.201 0.541 0.997
0.201 0.959 0.997
0.299 0.041 0.497
0.299 0.459 0.497
0.701 0.541 0.503
0.701 0.959 0.503
0.799 0.041 0.003
0.799 0.459 0.003
0.012 0.250 0.317
0.015 0.750 0.189
0.485 0.250 0.689
0.488 0.750 0.817
0.512 0.250 0.183
0.515 0.750 0.311
0.985 0.250 0.811
0.988 0.750 0.683

=====

(6)
Sm2PS | the Open Quantum Materials Database | PBE | optimized geometry; SG = Pmmn, No. 59
1.0
4.061 0.000 0.000
0.000 5.730 0.000
0.000 0.000 8.138
Sm P S
4 2 2
Direct
0.250 0.250 0.119
0.250 0.250 0.633
0.750 0.750 0.367
0.750 0.750 0.881
0.250 0.750 0.128
0.750 0.250 0.872
0.250 0.750 0.622
0.750 0.250 0.378

=====

(7)
Sm3P2S | the Open Quantum Materials Database | PBE | optimized geometry; SG = P-3m1, No. 164; offset from the most stable computed form = 9 meV/atom
1.0
4.079 0.000 0.000
-2.039 3.532 0.000
0.000 0.000 9.996
Sm P S
3 2 1
Direct
0.000 0.000 0.000
0.333 0.667 0.674
0.667 0.333 0.326
0.333 0.667 0.169
0.667 0.333 0.831
0.000 0.000 0.500

=====

(8)
Sm3P2S | the Open Quantum Materials Database | PBE | optimized geometry; SG = Immm, No. 71; offset from the most stable computed form = 0 meV/atom
1.0
-2.040 2.879 6.111
2.040 -2.879 6.111
2.040 2.879 -6.111
Sm P S
3 2 1
Direct
0.000 0.000 0.000
0.330 0.330 0.000
0.670 0.670 0.000
0.166 0.666 0.500
0.834 0.334 0.500
0.500 0.000 0.500

=====

(9)
SrUP2S8 | the Open Quantum Materials Database | PBE | optimized geometry; SG = P4_2/mbc, No. 135
1.0
11.136 0.000 0.000
0.000 11.136 0.000
0.000 0.000 9.575
Sr U P S
4 4 8 32
Direct
0.000 0.500 0.250
0.000 0.500 0.750
0.500 0.000 0.250
0.500 0.000 0.750
0.000 0.000 0.250
0.000 0.000 0.750
0.500 0.500 0.250
0.500 0.500 0.750
0.035 0.238 0.000
0.238 0.965 0.500
0.262 0.465 0.500
0.465 0.738 0.000
0.535 0.262 0.000
0.738 0.535 0.500
0.762 0.035 0.500
0.965 0.762 0.000
0.069 0.770 0.177
0.069 0.770 0.823
0.079 0.867 0.500
0.111 0.365 0.500
0.133 0.079 0.000
0.135 0.389 0.000
0.230 0.069 0.323
0.230 0.069 0.677
0.270 0.569 0.323
0.270 0.569 0.677
0.365 0.889 0.000
0.367 0.579 0.000
0.389 0.865 0.500
0.421 0.367 0.500
0.431 0.270 0.177
0.431 0.270 0.823
0.569 0.730 0.177
0.569 0.730 0.823
0.579 0.633 0.500
0.611 0.135 0.500
0.633 0.421 0.000
0.635 0.111 0.000
0.730 0.431 0.323
0.730 0.431 0.677
0.770 0.931 0.323
0.770 0.931 0.677
0.865 0.611 0.000
0.867 0.921 0.000
0.889 0.635 0.500
0.921 0.133 0.500
0.931 0.230 0.177
0.931 0.230 0.823

=====

(10)
TaPS5 | the Open Quantum Materials Database | PBE | optimized geometry; SG = P4/n, No. 85
1.0
7.578 0.000 0.000
0.000 7.578 0.000
0.000 0.000 5.597
Ta P S
2 2 10
Direct
0.250 0.250 0.088
0.750 0.750 0.912
0.250 0.750 0.000
0.750 0.250 0.000
0.050 0.827 0.771
0.173 0.550 0.229
0.250 0.250 0.704
0.327 0.950 0.229
0.450 0.673 0.771
0.550 0.327 0.229
0.673 0.050 0.771
0.750 0.750 0.296
0.827 0.450 0.771
0.950 0.173 0.229

=====

(11)
TbPS | the Open Quantum Materials Database | PBE | optimized geometry; SG = Pnma, No. 62
1.0
5.383 0.000 0.000
0.000 5.342 0.000
0.000 0.000 16.771
Tb P S
8 8 8
Direct
0.015 0.250 0.146
0.016 0.750 0.362
0.484 0.250 0.862
0.485 0.750 0.646
0.515 0.250 0.354
0.516 0.750 0.138
0.984 0.250 0.638
0.985 0.750 0.854
0.206 0.537 0.997
0.206 0.963 0.997
0.294 0.037 0.497
0.294 0.463 0.497
0.706 0.537 0.503
0.706 0.963 0.503
0.794 0.037 0.003
0.794 0.463 0.003
0.011 0.250 0.316
0.015 0.750 0.189
0.485 0.250 0.689
0.489 0.750 0.816
0.511 0.250 0.184
0.515 0.750 0.311
0.985 0.250 0.811
0.989 0.750 0.684

=====

(12)
Tb3P2S | the Open Quantum Materials Database | PBE | optimized geometry; SG = P-3m1, No. 164; offset from the most stable computed form = 11 meV/atom
1.0
3.999 0.000 0.000
-2.000 3.463 0.000
0.000 0.000 9.791
Tb P S
3 2 1
Direct
0.000 0.000 0.000
0.333 0.667 0.326
0.667 0.333 0.674
0.333 0.667 0.831
0.667 0.333 0.169
0.000 0.000 0.500

=====

(13)
TbPS | the Open Quantum Materials Database | PBE | optimized geometry; SG = Pnma, No. 62
1.0
7.016 0.000 0.000
0.000 3.670 0.000
0.000 0.000 9.235
Tb P S
4 4 4
Direct
0.207 0.250 0.160
0.293 0.750 0.660
0.707 0.250 0.340
0.793 0.750 0.840
0.089 0.250 0.462
0.411 0.750 0.962
0.589 0.250 0.038
0.911 0.750 0.538
0.092 0.250 0.845
0.408 0.750 0.345
0.592 0.250 0.655
0.908 0.750 0.155

=====

(14)
Tb3P2S | the Open Quantum Materials Database | PBE | optimized geometry; SG = Immm, No. 71; offset from the most stable computed form = 0 meV/atom
1.0
-2.000 2.821 5.990
2.000 -2.821 5.990
2.000 2.821 -5.990
Tb P S
3 2 1
Direct
0.000 0.000 0.000
0.330 0.330 0.000
0.670 0.670 0.000
0.166 0.666 0.500
0.834 0.334 0.500
0.500 0.000 0.500

=====

(15)
TbTlPS5 | the Open Quantum Materials Database | PBE | optimized geometry; SG = P-1, No. 2
1.0
5.752 0.000 0.000
-0.302 8.539 0.000
-0.349 -3.822 8.781
Tb Tl P S
2 2 2 10
Direct
0.121 0.292 0.010
0.879 0.708 0.990
0.254 0.780 0.607
0.746 0.220 0.393
0.240 0.390 0.719
0.760 0.610 0.281
0.105 0.626 0.218
0.113 0.029 0.099
0.253 0.363 0.503
0.360 0.632 0.876
0.387 0.197 0.760
0.613 0.803 0.240
0.640 0.368 0.124
0.747 0.637 0.497
0.887 0.971 0.901
0.895 0.374 0.782

=====

(16)
TmTe3PS | the Open Quantum Materials Database | PBE | optimized geometry; SG = P-1, No. 2
1.0
6.871 0.000 0.000
-2.095 6.917 0.000
-0.001 -0.154 8.593
Tm Te P S
2 6 2 2
Direct
0.194 0.278 0.058
0.806 0.722 0.942
0.069 0.481 0.764
0.273 0.105 0.363
0.496 0.351 0.781
0.504 0.649 0.219
0.727 0.895 0.637
0.931 0.519 0.236
0.226 0.818 0.196
0.774 0.182 0.804
0.214 0.915 0.969
0.786 0.085 0.031

=====

(17)
TmTePS3 | the Open Quantum Materials Database | PBE | optimized geometry; SG = P-1, No. 2
1.0
6.586 0.000 0.000
1.148 6.517 0.000
0.231 0.552 7.851
Tm Te P S
2 2 2 6
Direct
0.203 0.202 0.053
0.797 0.798 0.947
0.278 0.389 0.379
0.722 0.611 0.621
0.244 0.692 0.184
0.756 0.308 0.816
0.013 0.085 0.773
0.219 0.608 0.937
0.478 0.867 0.194
0.522 0.133 0.806
0.781 0.392 0.063
0.987 0.915 0.227

=====

(18)
Th2PS | the Open Quantum Materials Database | PBE | optimized geometry; SG = R-3m, No. 166
1.0
2.048 1.182 6.669
-2.048 1.182 6.669
0.000 -2.365 6.669
Th P S
2 1 1
Direct
0.249 0.249 0.249
0.751 0.751 0.751
0.500 0.500 0.500
0.000 0.000 0.000

=====

(19)
Th4PS3 | the Open Quantum Materials Database | PBE | optimized geometry; SG = Pm-3m, No. 221
1.0
5.748 0.000 0.000
0.000 5.748 0.000
0.000 0.000 5.748
Th P S
4 1 3
Direct
0.000 0.000 0.000
0.000 0.500 0.500
0.500 0.000 0.500
0.500 0.500 0.000
0.500 0.500 0.500
0.000 0.000 0.500
0.000 0.500 0.000
0.500 0.000 0.000

=====

| no. | volume (A^3/atom) | E (eV/atom) |
| --- | --- | --- |
| 1 | 27.71 | -5.11 |
| 2 | 27.04 | -5.27 |
| 3 | 27.86 | -5.11 |
| 4 | 25.98 | -5.70 |
| 5 | 21.15 | -6.32 |
| 6 | 23.67 | -6.61 |
| 7 | 24.00 | -6.63 |
| 8 | 23.92 | -6.64 |
| 9 | 24.74 | -5.62 |
| 10 | 22.96 | -5.84 |
| 11 | 20.09 | -6.30 |
| 12 | 22.60 | -6.61 |
| 13 | 19.81 | -6.24 |
| 14 | 22.53 | -6.62 |
| 15 | 26.95 | -4.94 |
| 16 | 34.03 | -4.48 |
| 17 | 28.08 | -5.10 |
| 18 | 24.22 | -7.82 |
| 19 | 23.74 | -7.72 |